(1)
Crystalline Zr4Tc3 at its relaxed geometry. Source: OQMD, functional PBE.

a = 8.1343 Å, b = 8.1349 Å, c = 4.7132 Å
α = 90.00°, β = 90.00°, γ = 59.99°
Positions (direct):
Tc 0.1561 0.2874 0.0000
Tc 0.2706 0.5848 0.0000
Tc 0.8589 0.6993 0.0000
Tc 0.3677 0.0935 0.5000
Tc 0.6649 0.6817 0.5000
Tc 0.2531 0.7962 0.5000
Zr 0.5082 0.2106 0.0000
Zr 0.7821 0.4240 0.0000
Zr 0.4286 0.8572 0.0000
Zr 0.9953 0.9369 0.0000
Zr 0.0156 0.1702 0.5000
Zr 0.5285 0.4441 0.5000
Zr 0.0952 0.5237 0.5000
Zr 0.7417 0.9570 0.5000

Energy in eV/atom: -9.355
Crystal system: hexagonal
Relative energy among the computed polymorphs in eV/f.u.: 0.197
M_tot in μB per cell: 0.02
Formation energy in meV/atom: -31

***

(2)
Crystalline Zr3Tc at its relaxed geometry. Source: OQMD, functional PBE.

a = 4.8433 Å, b = 6.7982 Å, c = 4.8214 Å
α = 90.00°, β = 90.00°, γ = 90.00°
Positions (direct):
Tc 0.9158 0.0000 0.0000
Tc 0.4175 0.5000 0.5000
Zr 0.4245 0.2506 0.0000
Zr 0.9355 0.5000 0.0000
Zr 0.4245 0.7494 0.0000
Zr 0.3979 0.0000 0.5000
Zr 0.9089 0.2494 0.5000
Zr 0.9089 0.7506 0.5000

Energy in eV/atom: -9.041
Crystal system: orthorhombic
M_tot in μB per cell: 0.02
Formation energy in meV/atom: -41

***

(3)
Crystalline ThTe at its relaxed geometry. Source: OQMD, functional PBE.

a = 5.0019 Å, b = 5.0019 Å, c = 5.0019 Å
α = 60.00°, β = 60.00°, γ = 60.00°
Positions (direct):
Te 0.0000 0.0000 0.0000
Th 0.2500 0.2500 0.2500

Energy in eV/atom: -5.473
Crystal system: cubic
M_tot in μB per cell: 0.09

***

(4)
Crystalline ThTe at its relaxed geometry. Source: OQMD, functional PBE.

a = 3.8525 Å, b = 3.8525 Å, c = 3.8525 Å
α = 90.00°, β = 90.00°, γ = 90.00°
Positions (direct):
Te 0.5000 0.5000 0.5000
Th 0.0000 0.0000 0.0000

Energy in eV/atom: -6.375
Crystal system: cubic
M_tot in μB per cell: 0.00

***

(5)
Crystalline ThTe at its relaxed geometry. Source: OQMD, functional PBE.

a = 4.0344 Å, b = 4.0344 Å, c = 4.4792 Å
α = 90.00°, β = 90.00°, γ = 120.00°
Positions (direct):
Te 0.6667 0.3333 0.7500
Th 0.3333 0.6667 0.2500

Energy in eV/atom: -6.336
Crystal system: hexagonal
M_tot in μB per cell: 0.00

***

(6)
Crystalline ThUTe at its relaxed geometry. Source: OQMD, functional PBE.

a = 5.1486 Å, b = 5.1486 Å, c = 5.1486 Å
α = 60.00°, β = 60.00°, γ = 60.00°
Positions (direct):
Te 0.0000 0.0000 0.0000
Th 0.2500 0.2500 0.2500
U 0.7500 0.7500 0.7500

Energy in eV/atom: -7.016
Crystal system: cubic
Relative energy among the computed polymorphs in eV/f.u.: 0.000
M_tot in μB per cell: 3.42

***

(7)
Crystalline ThZrTe at its relaxed geometry. Source: OQMD, functional PBE.

a = 5.0452 Å, b = 5.0452 Å, c = 5.0452 Å
α = 60.00°, β = 60.00°, γ = 60.00°
Positions (direct):
Te 0.0000 0.0000 0.0000
Th 0.2500 0.2500 0.2500
Zr 0.7500 0.7500 0.7500

Energy in eV/atom: -6.475
Crystal system: cubic
Relative energy among the computed polymorphs in eV/f.u.: 0.000
M_tot in μB per cell: 0.01

***

(8)
Crystalline TmTlTe at its relaxed geometry. Source: OQMD, functional PBE.

a = 5.1591 Å, b = 5.1591 Å, c = 5.1591 Å
α = 60.00°, β = 60.00°, γ = 60.00°
Positions (direct):
Te 0.0000 0.0000 0.0000
Tl 0.2500 0.2500 0.2500
Tm 0.7500 0.7500 0.7500

Energy in eV/atom: -3.592
Crystal system: cubic
Relative energy among the computed polymorphs in eV/f.u.: 0.109
M_tot in μB per cell: 0.00

***

(9)
Crystalline Tm5TlTe4 at its relaxed geometry. Source: OQMD, functional PBE.

a = 7.4904 Å, b = 7.4904 Å, c = 7.4904 Å
α = 99.53°, β = 99.53°, γ = 131.98°
Positions (direct):
Te 0.8047 0.4060 0.2089
Te 0.5958 0.8047 0.3987
Te 0.4060 0.1971 0.6013
Te 0.1971 0.5958 0.7911
Tl 0.0015 0.0015 0.0000
Tm 0.5016 0.5016 0.0000
Tm 0.2897 0.9017 0.1896
Tm 0.1002 0.2897 0.3881
Tm 0.9017 0.7121 0.6119
Tm 0.7121 0.1002 0.8104

Energy in eV/atom: -4.773
Crystal system: tetragonal
M_tot in μB per cell: 0.00

***

(10)
Crystalline TmTlTe at its relaxed geometry. Source: OQMD, functional PBE.

a = 5.1526 Å, b = 5.1526 Å, c = 5.1526 Å
α = 60.00°, β = 60.00°, γ = 60.00°
Positions (direct):
Te 0.2500 0.2500 0.2500
Tl 0.7500 0.7500 0.7500
Tm 0.0000 0.0000 0.0000

Energy in eV/atom: -3.628
Crystal system: cubic
Relative energy among the computed polymorphs in eV/f.u.: 0.000
M_tot in μB per cell: 0.00

***

(11)
Crystalline TmZrTlTe3 at its relaxed geometry. Source: OQMD, functional PBE.

a = 7.8969 Å, b = 7.8969 Å, c = 11.4735 Å
α = 90.00°, β = 90.00°, γ = 149.82°
Positions (direct):
Te 0.8590 0.1410 0.0157
Te 0.5670 0.4330 0.2500
Te 0.8590 0.1410 0.4843
Te 0.1410 0.8590 0.5157
Te 0.4330 0.5670 0.7500
Te 0.1410 0.8590 0.9843
Tl 0.2531 0.7469 0.2500
Tl 0.7469 0.2531 0.7500
Tm 0.9305 0.0695 0.2500
Tm 0.0695 0.9305 0.7500
Zr 0.5000 0.5000 0.0000
Zr 0.5000 0.5000 0.5000

Energy in eV/atom: -4.908
Crystal system: orthorhombic
Relative energy among the computed polymorphs in eV/f.u.: 0.101
M_tot in μB per cell: 0.06

***

(12)
Crystalline TmZrTlTe3 at its relaxed geometry. Source: OQMD, functional PBE.

a = 7.9503 Å, b = 7.9503 Å, c = 11.6628 Å
α = 90.00°, β = 90.00°, γ = 150.12°
Positions (direct):
Te 0.3560 0.6440 0.0243
Te 0.0587 0.9413 0.2500
Te 0.3560 0.6440 0.4757
Te 0.6440 0.3560 0.5243
Te 0.9413 0.0587 0.7500
Te 0.6440 0.3560 0.9757
Tl 0.7597 0.2403 0.2500
Tl 0.2403 0.7597 0.7500
Tm 0.0000 0.0000 0.0000
Tm 0.0000 0.0000 0.5000
Zr 0.4247 0.5753 0.2500
Zr 0.5753 0.4247 0.7500

Energy in eV/atom: -4.924
Crystal system: orthorhombic
Relative energy among the computed polymorphs in eV/f.u.: 0.000
M_tot in μB per cell: 0.02

***

- Look up the M_tot of the second one.
  0.02 μB per cell